[1]
# HgAs2Ir | the Alexandria database | PBE-GGA | relaxed
# - formation enthalpy at 0 K (eV/atom) = 0.046
# - DOS at the Fermi energy (states/eV/cell) = 2.7
# - total DFT energy (no corrections) (eV/cell) = -18.28
# - crystal system = monoclinic
data_HgAs2Ir
_cell_length_a 4.9762
_cell_length_b 3.9571
_cell_length_c 5.3740
_cell_angle_alpha 90.00
_cell_angle_beta 116.89
_cell_angle_gamma 90.00
_symmetry_space_group_name_H-M 'P 1 2/m 1'
_symmetry_Int_Tables_number 10
loop_
_symmetry_equiv_pos_as_xyz
'x,y,z'
'-x,-y,-z'
'-x,y,-z'
'x,-y,z'
loop_
_atom_site_label
_atom_site_type_symbol
_atom_site_fract_x
_atom_site_fract_y
_atom_site_fract_z
Hg1 Hg 0.0000 0.0000 0.0000
As1 As 0.3273 0.5000 0.6078
Ir1 Ir 0.0000 0.0000 0.5000


[2]
# Pm3Ga4Au7 | the Alexandria database | PBE-GGA | relaxed
# - formation enthalpy at 0 K (eV/atom) = -0.640
# - DOS at the Fermi energy (states/eV/cell) = 15.9
# - total DFT energy (no corrections) (eV/cell) = -116.52
# - crystal system = monoclinic
data_Pm3Ga4Au7
_cell_length_a 16.5064
_cell_length_b 4.4556
_cell_length_c 9.4707
_cell_angle_alpha 90.00
_cell_angle_beta 124.27
_cell_angle_gamma 90.00
_symmetry_space_group_name_H-M 'C 1 2/m 1'
_symmetry_Int_Tables_number 12
loop_
_symmetry_equiv_pos_as_xyz
'x,y,z'
'-x,-y,-z'
'-x,y,-z'
'x,-y,z'
'x+1/2,y+1/2,z'
'-x+1/2,-y+1/2,-z'
'-x+1/2,y+1/2,-z'
'x+1/2,-y+1/2,z'
loop_
_atom_site_label
_atom_site_type_symbol
_atom_site_fract_x
_atom_site_fract_y
_atom_site_fract_z
Pm1 Pm 0.0000 0.0000 0.0000
Pm2 Pm 0.1847 0.5000 0.6801
Ga1 Ga 0.1284 0.0000 0.8449
Ga2 Ga 0.1743 0.5000 0.3069
Au1 Au 0.0000 0.0000 0.5000
Au2 Au 0.0015 0.5000 0.2770
Au3 Au 0.1407 0.0000 0.4046
Au4 Au 0.1799 0.5000 0.0421


[3]
# La2MnCd | the Alexandria database | PBE-GGA | relaxed
# - formation enthalpy at 0 K (eV/atom) = 0.184
# - DOS at the Fermi energy (states/eV/cell) = 8.9
# - total DFT energy (no corrections) (eV/cell) = -38.41
# - crystal system = monoclinic
data_La2MnCd
_cell_length_a 7.3200
_cell_length_b 3.5379
_cell_length_c 9.0658
_cell_angle_alpha 90.00
_cell_angle_beta 98.52
_cell_angle_gamma 90.00
_symmetry_space_group_name_H-M 'C 1 2/m 1'
_symmetry_Int_Tables_number 12
loop_
_symmetry_equiv_pos_as_xyz
'x,y,z'
'-x,-y,-z'
'-x,y,-z'
'x,-y,z'
'x+1/2,y+1/2,z'
'-x+1/2,-y+1/2,-z'
'-x+1/2,y+1/2,-z'
'x+1/2,-y+1/2,z'
loop_
_atom_site_label
_atom_site_type_symbol
_atom_site_fract_x
_atom_site_fract_y
_atom_site_fract_z
La1 La 0.2479 0.0000 0.2873
Mn1 Mn 0.0000 0.0000 0.5000
Cd1 Cd 0.0000 0.5000 0.0000


[4]
# Sc2Cd | the Alexandria database | PBE-GGA | relaxed
# - formation enthalpy at 0 K (eV/atom) = -0.037
# - DOS at the Fermi energy (states/eV/cell) = 23.6
# - total DFT energy (no corrections) (eV/cell) = -54.75
# - crystal system = tetragonal
data_Sc2Cd
_cell_length_a 6.9858
_cell_length_b 6.9858
_cell_length_c 5.9382
_cell_angle_alpha 90.00
_cell_angle_beta 90.00
_cell_angle_gamma 90.00
_symmetry_space_group_name_H-M 'I 4/m c m'
_symmetry_Int_Tables_number 140
_symmetry_space_group_name_Hall '-I 4 2c'
loop_
_atom_site_label
_atom_site_type_symbol
_atom_site_fract_x
_atom_site_fract_y
_atom_site_fract_z
Sc1 Sc 0.1618 0.3382 0.0000
Cd1 Cd 0.0000 0.0000 0.2500


[5]
# Zn2CuTc | the Alexandria database | PBE-GGA | relaxed
# - formation enthalpy at 0 K (eV/atom) = 0.167
# - energy above the most stable polymorph in this dataset (meV/atom) = 162
# - DOS at the Fermi energy (states/eV/cell) = 4.9
# - total DFT energy (no corrections) (eV/cell) = -32.68
# - crystal system = tetragonal
data_Zn2CuTc
_cell_length_a 3.7564
_cell_length_b 3.7564
_cell_length_c 7.8069
_cell_angle_alpha 90.00
_cell_angle_beta 90.00
_cell_angle_gamma 90.00
_symmetry_space_group_name_H-M 'I -4 m 2'
_symmetry_Int_Tables_number 119
_symmetry_space_group_name_Hall 'I -4 -2'
loop_
_atom_site_label
_atom_site_type_symbol
_atom_site_fract_x
_atom_site_fract_y
_atom_site_fract_z
Zn1 Zn 0.0000 0.0000 0.0000
Zn2 Zn 0.0000 0.5000 0.2500
Cu1 Cu 0.0000 0.5000 0.7500
Tc1 Tc 0.0000 0.0000 0.5000


[6]
# Rb2LiSbF6 | the Alexandria database | PBE-GGA | relaxed
# - DOS at the Fermi energy (states/eV/cell) = 0.0
# - total DFT energy (no corrections) (eV/cell) = -182.73
# - crystal system = cubic
data_Rb2LiSbF6
_cell_length_a 8.7322
_cell_length_b 8.7322
_cell_length_c 8.7322
_cell_angle_alpha 90.00
_cell_angle_beta 90.00
_cell_angle_gamma 90.00
_symmetry_space_group_name_H-M 'F m -3 m'
_symmetry_Int_Tables_number 225
_symmetry_space_group_name_Hall '-F 4 2 3'
loop_
_atom_site_label
_atom_site_type_symbol
_atom_site_fract_x
_atom_site_fract_y
_atom_site_fract_z
Rb1 Rb 0.2500 0.2500 0.2500
Li1 Li 0.0000 0.0000 0.0000
Sb1 Sb 0.0000 0.0000 0.5000
F1 F 0.0000 0.0000 0.2463


[7]
# UPd6Pt2 | the Alexandria database | PBE-GGA | relaxed
# - formation enthalpy at 0 K (eV/atom) = -0.404
# - energy above the most stable polymorph in this dataset (meV/atom) = 0
# - DOS at the Fermi energy (states/eV/cell) = 9.1
# - total DFT energy (no corrections) (eV/cell) = -116.32
# - crystal system = monoclinic
data_UPd6Pt2
_cell_length_a 12.0221
_cell_length_b 4.1285
_cell_length_c 6.2474
_cell_angle_alpha 90.00
_cell_angle_beta 108.42
_cell_angle_gamma 90.00
_symmetry_space_group_name_H-M 'C 1 2/m 1'
_symmetry_Int_Tables_number 12
loop_
_symmetry_equiv_pos_as_xyz
'x,y,z'
'-x,-y,-z'
'-x,y,-z'
'x,-y,z'
'x+1/2,y+1/2,z'
'-x+1/2,-y+1/2,-z'
'-x+1/2,y+1/2,-z'
'x+1/2,-y+1/2,z'
loop_
_atom_site_label
_atom_site_type_symbol
_atom_site_fract_x
_atom_site_fract_y
_atom_site_fract_z
U1 U 0.0000 0.0000 0.0000
Pd1 Pd 0.1098 0.0000 0.6712
Pd2 Pd 0.1666 0.5000 0.0011
Pd3 Pd 0.2205 0.0000 0.3305
Pt1 Pt 0.0554 0.5000 0.3291


[8]
# HoZn6Ni12 | the Alexandria database | PBE-GGA | relaxed
# - formation enthalpy at 0 K (eV/atom) = 0.011
# - DOS at the Fermi energy (states/eV/cell) = 57.0
# - total DFT energy (no corrections) (eV/cell) = -244.14
# - crystal system = trigonal
data_HoZn6Ni12
_cell_length_a 10.4972
_cell_length_b 10.4972
_cell_length_c 8.0702
_cell_angle_alpha 90.00
_cell_angle_beta 90.00
_cell_angle_gamma 120.00
_symmetry_space_group_name_H-M 'R -3 m'
_symmetry_Int_Tables_number 166
_symmetry_space_group_name_Hall '-R 3 2"'
loop_
_atom_site_label
_atom_site_type_symbol
_atom_site_fract_x
_atom_site_fract_y
_atom_site_fract_z
Ho1 Ho 0.0000 0.0000 0.0000
Zn1 Zn 0.0544 0.5272 0.2373
Ni1 Ni 0.0000 0.3900 0.5000
Ni2 Ni 0.0814 0.1628 0.2920


[9]
# AcThPa | the Alexandria database | PBE-GGA | relaxed
# - formation enthalpy at 0 K (eV/atom) = 0.444
# - energy above the most stable polymorph in this dataset (meV/atom) = 166
# - DOS at the Fermi energy (states/eV/cell) = 17.9
# - total DFT energy (no corrections) (eV/cell) = -39.39
# - crystal system = hexagonal
data_AcThPa
_cell_length_a 5.6700
_cell_length_b 5.6700
_cell_length_c 7.1750
_cell_angle_alpha 90.00
_cell_angle_beta 90.00
_cell_angle_gamma 120.00
_symmetry_space_group_name_H-M 'P 63/m m c'
_symmetry_Int_Tables_number 194
_symmetry_space_group_name_Hall '-P 6c 2c'
loop_
_atom_site_label
_atom_site_type_symbol
_atom_site_fract_x
_atom_site_fract_y
_atom_site_fract_z
Ac1 Ac 0.0000 0.0000 0.0000
Th1 Th 0.3333 0.6667 0.2500
Pa1 Pa 0.3333 0.6667 0.7500


[10]
# YZn2Cl | the Alexandria database | PBE-GGA | relaxed
# - energy above the most stable polymorph in this dataset (meV/atom) = 217
# - DOS at the Fermi energy (states/eV/cell) = 10.9
# - total DFT energy (no corrections) (eV/cell) = -49.49
# - crystal system = tetragonal
data_YZn2Cl
_cell_length_a 8.4362
_cell_length_b 8.4362
_cell_length_c 5.3048
_cell_angle_alpha 90.00
_cell_angle_beta 90.00
_cell_angle_gamma 90.00
_symmetry_space_group_name_H-M 'I -4 2 d'
_symmetry_Int_Tables_number 122
_symmetry_space_group_name_Hall 'I -4 2bw'
loop_
_atom_site_label
_atom_site_type_symbol
_atom_site_fract_x
_atom_site_fract_y
_atom_site_fract_z
Y1 Y 0.0000 0.0000 0.0000
Zn1 Zn 0.2471 0.7500 0.1250
Cl1 Cl 0.0000 0.0000 0.5000


[11]
# Tl2PbCl | the Alexandria database | PBE-GGA | relaxed
# - energy above the most stable polymorph in this dataset (meV/atom) = 134
# - DOS at the Fermi energy (states/eV/cell) = 4.7
# - total DFT energy (no corrections) (eV/cell) = -22.34
# - crystal system = tetragonal
data_Tl2PbCl
_cell_length_a 4.6016
_cell_length_b 4.6016
_cell_length_c 11.4310
_cell_angle_alpha 90.00
_cell_angle_beta 90.00
_cell_angle_gamma 90.00
_symmetry_space_group_name_H-M 'I 4/m m m'
_symmetry_Int_Tables_number 139
_symmetry_space_group_name_Hall '-I 4 2'
loop_
_atom_site_label
_atom_site_type_symbol
_atom_site_fract_x
_atom_site_fract_y
_atom_site_fract_z
Tl1 Tl 0.0000 0.5000 0.2500
Pb1 Pb 0.0000 0.0000 0.0000
Cl1 Cl 0.0000 0.0000 0.5000


[12]
# SiTeW2 | the Alexandria database | PBE-GGA | relaxed
# - energy above the most stable polymorph in this dataset (meV/atom) = 511
# - DOS at the Fermi energy (states/eV/cell) = 13.2
# - total DFT energy (no corrections) (eV/cell) = -125.01
# - crystal system = tetragonal
data_SiTeW2
_cell_length_a 4.1618
_cell_length_b 4.1618
_cell_length_c 17.8729
_cell_angle_alpha 90.00
_cell_angle_beta 90.00
_cell_angle_gamma 90.00
_symmetry_space_group_name_H-M 'I -4 2 d'
_symmetry_Int_Tables_number 122
_symmetry_space_group_name_Hall 'I -4 2bw'
loop_
_atom_site_label
_atom_site_type_symbol
_atom_site_fract_x
_atom_site_fract_y
_atom_site_fract_z
Si1 Si 0.0000 0.0000 0.0000
Te1 Te 0.0000 0.0000 0.5000
W1 W 0.1882 0.2500 0.1250


[13]
# PrTmGaNi | the Alexandria database | PBE-GGA | relaxed
# - formation enthalpy at 0 K (eV/atom) = -0.377
# - DOS at the Fermi energy (states/eV/cell) = 15.8
# - total DFT energy (no corrections) (eV/cell) = -78.26
# - crystal system = cubic
data_PrTmGaNi
_cell_length_a 7.0902
_cell_length_b 7.0902
_cell_length_c 7.0902
_cell_angle_alpha 90.00
_cell_angle_beta 90.00
_cell_angle_gamma 90.00
_symmetry_space_group_name_H-M 'F -4 3 m'
_symmetry_Int_Tables_number 216
_symmetry_space_group_name_Hall 'F -4 2 3'
loop_
_atom_site_label
_atom_site_type_symbol
_atom_site_fract_x
_atom_site_fract_y
_atom_site_fract_z
Pr1 Pr 0.0000 0.0000 0.0000
Tm1 Tm 0.0000 0.0000 0.5000
Ga1 Ga 0.2500 0.2500 0.2500
Ni1 Ni 0.2500 0.2500 0.7500